Computed, not measured: a relaxed HoFe2BiO6 crystal at the PBE+U level of DFT.

SG ... R3 (146)
VASP energy ... -6.8620 eV/atom

The structure in POSCAR format:
```
HoFe2BiO6
1.0
-1.8909 -4.2119 3.0767
0.8465 -5.2322 -1.6405
3.6865 -3.2359 2.8396
O Fe Ho Bi
6 2 1 1
direct
0.6796 0.2372 0.2369 O
0.8462 0.6797 0.2369 O
0.3692 0.7375 0.7380 O
0.1553 0.3692 0.7380 O
0.7376 0.1553 0.7379 O
0.2372 0.8462 0.2370 O
0.5211 0.5211 0.4366 Fe
0.0200 0.0200 0.9401 Fe
0.7987 0.7987 0.6040 Ho
0.2967 0.2967 0.1098 Bi
```